No. 1
This record from the Alexandria database describes an optimized crystal structure of TaIn2Os. The functional is PBE.

## Properties
Energy above the most stable polymorph in this dataset (meV per atom): 371
ΔH_f (0 K) (kcal/mol of atoms): 9.4
Space-group type: Immm

Lattice parameters (Å, degrees): 5.675 5.675 5.675 148.28 127.91 62.29
Atoms (fractional coordinates):
In: 0.514 0.514 0.000
In: 0.986 0.986 0.000
Os: 0.750 0.250 0.500
Ta: 0.250 0.750 0.500


No. 2
This record from the Alexandria database describes an optimized crystal structure of CaRe3Si. The functional is PBE.

## Properties
Energy above the most stable polymorph in this dataset (meV per atom): 2417
Formation energy without anion corrections (eV per formula unit): 17.080
Space-group type: Pm-3m

Lattice parameters (Å, degrees): 4.619 4.619 4.619 90.00 90.00 90.00
Atoms (fractional coordinates):
Si: 0.500 0.500 0.500
Re: 0.000 0.000 0.500
Re: 0.500 0.000 0.000
Re: 0.000 0.500 0.000
Ca: 0.000 0.000 0.000


No. 3
This record from the Alexandria database describes an optimized crystal structure of AcEr4Zn5. The functional is PBE.

## Properties
ΔH_f (0 K) (kcal/mol of atoms): -7.1
Space-group type: P4/mmm

Lattice parameters (Å, degrees): 3.604 3.604 18.114 90.00 90.00 90.00
Atoms (fractional coordinates):
Zn: 0.500 0.500 0.500
Zn: 0.500 0.500 0.692
Zn: 0.500 0.500 0.123
Zn: 0.500 0.500 0.877
Zn: 0.500 0.500 0.308
Er: 0.000 0.000 0.787
Er: 0.000 0.000 0.213
Er: 0.000 0.000 0.595
Er: 0.000 0.000 0.405
Ac: 0.000 0.000 0.000


No. 4
This record from the Alexandria database describes an optimized crystal structure of LiInFe2C. The functional is PBE.

## Properties
Energy above the most stable polymorph in this dataset (meV per atom): 1585
ΔH_f (0 K) (kcal/mol of atoms): 37.2
Space-group type: P4/mmm

Lattice parameters (Å, degrees): 4.115 3.562 4.115 90.00 90.00 90.00
Atoms (fractional coordinates):
Li: 0.000 0.000 0.000
Fe: 0.000 0.000 0.500
Fe: 0.500 0.000 0.000
C: 0.000 0.500 0.000
In: 0.500 0.500 0.500


no.,D(E_F) (states/eV/cell)
1,3.28
2,6.66
3,10.10
4,7.62